# OsC3, optimized geometry, DFT PBE
# * crystal system: cubic
# * energy: -0.545 Ry per atom
# * total moment: 1.1 Bohr magnetons per cell
# * polymorph energy (0 for the lowest one): 1.379 eV per atom
data_OsC3
_chemical_formula_sum 'Os1 C3'
_space_group_name_H-M_alt 'P m -3 m'
_space_group_IT_number 221
_space_group_name_Hall '-P 4 2 3'
_cell_length_a 3.968
_cell_length_b 3.968
_cell_length_c 3.968
_cell_angle_alpha 90.00
_cell_angle_beta 90.00
_cell_angle_gamma 90.00
loop_
_atom_site_label
_atom_site_type_symbol
_atom_site_fract_x
_atom_site_fract_y
_atom_site_fract_z
Os1 Os 0.000 0.000 0.000
C1 C 0.000 0.000 0.500



# OsC3, optimized geometry, DFT PBE
# * crystal system: tetragonal
# * energy: -0.499 Ry per atom
# * total moment: 0.0 Bohr magnetons per cell
# * polymorph energy (0 for the lowest one): 2.004 eV per atom
data_OsC3
_chemical_formula_sum 'Os2 C6'
_space_group_name_H-M_alt 'I 4/m m m'
_space_group_IT_number 139
_space_group_name_Hall '-I 4 2'
_cell_length_a 3.291
_cell_length_b 3.291
_cell_length_c 6.316
_cell_angle_alpha 90.00
_cell_angle_beta 90.00
_cell_angle_gamma 90.00
loop_
_atom_site_label
_atom_site_type_symbol
_atom_site_fract_x
_atom_site_fract_y
_atom_site_fract_z
Os1 Os 0.000 0.000 0.000
C1 C 0.000 0.000 0.500
C2 C 0.000 0.500 0.250



# Os8C, optimized geometry, DFT PBE
# * crystal system: tetragonal
# * energy: -0.751 Ry per atom
# * total moment: 0.0 Bohr magnetons per cell
data_Os8C
_chemical_formula_sum 'Os16 C2'
_space_group_name_H-M_alt 'I 4/m m m'
_space_group_IT_number 139
_space_group_name_Hall '-I 4 2'
_cell_length_a 8.111
_cell_length_b 8.111
_cell_length_c 3.836
_cell_angle_alpha 90.00
_cell_angle_beta 90.00
_cell_angle_gamma 90.00
loop_
_atom_site_label
_atom_site_type_symbol
_atom_site_fract_x
_atom_site_fract_y
_atom_site_fract_z
Os1 Os 0.000 0.338 0.000
Os2 Os 0.172 0.172 0.500
C1 C 0.000 0.000 0.000



# OsC3, optimized geometry, DFT PBE
# * crystal system: tetragonal
# * energy: -0.495 Ry per atom
# * total moment: 0.0 Bohr magnetons per cell
# * polymorph energy (0 for the lowest one): 2.049 eV per atom
data_OsC3
_chemical_formula_sum 'Os1 C3'
_space_group_name_H-M_alt 'P 4/m m m'
_space_group_IT_number 123
_space_group_name_Hall '-P 4 2'
_cell_length_a 3.610
_cell_length_b 3.610
_cell_length_c 2.683
_cell_angle_alpha 90.00
_cell_angle_beta 90.00
_cell_angle_gamma 90.00
loop_
_atom_site_label
_atom_site_type_symbol
_atom_site_fract_x
_atom_site_fract_y
_atom_site_fract_z
Os1 Os 0.000 0.000 0.000
C1 C 0.000 0.500 0.500
C2 C 0.500 0.500 0.000



# OsC, optimized geometry, DFT PBE
# * crystal system: orthorhombic
# * energy: -0.687 Ry per atom
# * total moment: 0.0 Bohr magnetons per cell
# * polymorph energy (0 for the lowest one): 0.160 eV per atom
data_OsC
_chemical_formula_sum 'Os6 C6'
_space_group_name_H-M_alt 'P m n 21'
_space_group_IT_number 31
_space_group_name_Hall 'P 2ac -2'
_cell_length_a 8.766
_cell_length_b 3.456
_cell_length_c 5.261
_cell_angle_alpha 90.00
_cell_angle_beta 90.00
_cell_angle_gamma 90.00
loop_
_atom_site_label
_atom_site_type_symbol
_atom_site_fract_x
_atom_site_fract_y
_atom_site_fract_z
Os1 Os 0.000 0.066 0.000
Os2 Os 0.219 0.602 0.747
C1 C 0.000 0.542 0.755
C2 C 0.209 0.902 0.106



# Os5C, optimized geometry, DFT PBE
# * crystal system: orthorhombic
# * energy: -0.739 Ry per atom
# * total moment: 0.0 Bohr magnetons per cell
# * polymorph energy (0 for the lowest one): 0.368 eV per atom
data_Os5C
_chemical_formula_sum 'Os10 C2'
_space_group_name_H-M_alt 'A m m 2'
_space_group_IT_number 38
_space_group_name_Hall 'A 2 -2'
_cell_length_a 4.141
_cell_length_b 2.754
_cell_length_c 14.648
_cell_angle_alpha 90.00
_cell_angle_beta 90.00
_cell_angle_gamma 90.00
loop_
_atom_site_label
_atom_site_type_symbol
_atom_site_fract_x
_atom_site_fract_y
_atom_site_fract_z
Os1 Os 0.000 0.000 0.000
Os2 Os 0.000 0.000 0.327
Os3 Os 0.000 0.000 0.655
Os4 Os 0.500 0.000 0.440
Os5 Os 0.500 0.000 0.770
C1 C 0.500 0.000 0.165



# OsC3, optimized geometry, DFT PBE
# * crystal system: orthorhombic
# * energy: -0.591 Ry per atom
# * total moment: 0.0 Bohr magnetons per cell
# * polymorph energy (0 for the lowest one): 0.746 eV per atom
data_OsC3
_chemical_formula_sum 'Os2 C6'
_space_group_name_H-M_alt 'P m m n'
_space_group_IT_number 59
_cell_length_a 4.233
_cell_length_b 4.645
_cell_length_c 4.189
_cell_angle_alpha 90.00
_cell_angle_beta 90.00
_cell_angle_gamma 90.00
loop_
_space_group_symop_operation_xyz
'x,y,z'
'-x,-y,-z'
'-x+1/2,-y+1/2,z'
'x+1/2,y+1/2,-z'
'x+1/2,-y,-z'
'-x+1/2,y,z'
'-x,y+1/2,-z'
'x,-y+1/2,z'
loop_
_atom_site_label
_atom_site_type_symbol
_atom_site_fract_x
_atom_site_fract_y
_atom_site_fract_z
Os1 Os 0.250 0.250 0.126
C1 C 0.088 0.750 0.585
C2 C 0.250 0.750 0.269



# OsC, optimized geometry, DFT PBE
# * crystal system: tetragonal
# * energy: -0.680 Ry per atom
# * total moment: 0.0 Bohr magnetons per cell
# * polymorph energy (0 for the lowest one): 0.256 eV per atom
data_OsC
_chemical_formula_sum 'Os2 C2'
_space_group_name_H-M_alt 'P 4/n m m'
_space_group_IT_number 129
_cell_length_a 2.813
_cell_length_b 2.813
_cell_length_c 5.263
_cell_angle_alpha 90.00
_cell_angle_beta 90.00
_cell_angle_gamma 90.00
loop_
_space_group_symop_operation_xyz
'x,y,z'
'-x,-y,-z'
'-y+1/2,x,z'
'y+1/2,-x,-z'
'-x+1/2,-y+1/2,z'
'x+1/2,y+1/2,-z'
'y,-x+1/2,z'
'-y,x+1/2,-z'
'x+1/2,-y,-z'
'-x+1/2,y,z'
'-y,-x,-z'
'y,x,z'
'-x,y+1/2,-z'
'x,-y+1/2,z'
'y+1/2,x+1/2,-z'
'-y+1/2,-x+1/2,z'
loop_
_atom_site_label
_atom_site_type_symbol
_atom_site_fract_x
_atom_site_fract_y
_atom_site_fract_z
Os1 Os 0.250 0.250 0.227
C1 C 0.250 0.250 0.629



# Os3C, optimized geometry, DFT PBE
# * crystal system: tetragonal
# * energy: -0.735 Ry per atom
# * total moment: 0.0 Bohr magnetons per cell
# * polymorph energy (0 for the lowest one): 0.388 eV per atom
data_Os3C
_chemical_formula_sum 'Os3 C1'
_space_group_name_H-M_alt 'P 4/m m m'
_space_group_IT_number 123
_space_group_name_Hall '-P 4 2'
_cell_length_a 2.726
_cell_length_b 2.726
_cell_length_c 6.498
_cell_angle_alpha 90.00
_cell_angle_beta 90.00
_cell_angle_gamma 90.00
loop_
_atom_site_label
_atom_site_type_symbol
_atom_site_fract_x
_atom_site_fract_y
_atom_site_fract_z
Os1 Os 0.000 0.000 0.000
Os2 Os 0.500 0.500 0.297
C1 C 0.000 0.000 0.500



# Os3C, optimized geometry, DFT PBE
# * crystal system: orthorhombic
# * energy: -0.730 Ry per atom
# * total moment: 0.0 Bohr magnetons per cell
# * polymorph energy (0 for the lowest one): 0.454 eV per atom
data_Os3C
_chemical_formula_sum 'Os12 C4'
_space_group_name_H-M_alt 'C m c m'
_space_group_IT_number 63
_space_group_name_Hall '-C 2c 2'
_cell_length_a 7.615
_cell_length_b 7.893
_cell_length_c 3.855
_cell_angle_alpha 90.00
_cell_angle_beta 90.00
_cell_angle_gamma 90.00
loop_
_atom_site_label
_atom_site_type_symbol
_atom_site_fract_x
_atom_site_fract_y
_atom_site_fract_z
Os1 Os 0.000 0.108 0.250
Os2 Os 0.248 0.369 0.250
C1 C 0.000 0.375 0.250



# Os3C, optimized geometry, DFT PBE
# * crystal system: trigonal
# * energy: -0.736 Ry per atom
# * total moment: 0.0 Bohr magnetons per cell
# * polymorph energy (0 for the lowest one): 0.374 eV per atom
data_Os3C
_chemical_formula_sum 'Os9 C3'
_space_group_name_H-M_alt 'R -3 m'
_space_group_IT_number 166
_space_group_name_Hall '-R 3 2"'
_cell_length_a 2.7749
_cell_length_b 2.7749
_cell_length_c 22.1943
_cell_angle_alpha 90.00
_cell_angle_beta 90.00
_cell_angle_gamma 120.00
loop_
_atom_site_label
_atom_site_type_symbol
_atom_site_fract_x
_atom_site_fract_y
_atom_site_fract_z
Os1 Os 0.0000 0.0000 0.0000
Os2 Os 0.0000 0.0000 0.2321
C1 C 0.0000 0.0000 0.5000



# Os2C3, optimized geometry, DFT PBE
# * crystal system: tetragonal
# * energy: -0.647 Ry per atom
# * total moment: 0.0 Bohr magnetons per cell
# * polymorph energy (0 for the lowest one): 0.000 eV per atom
data_Os2C3
_chemical_formula_sum 'Os8 C12'
_space_group_name_H-M_alt 'P -4 c 2'
_space_group_IT_number 116
_space_group_name_Hall 'P -4 -2c'
_cell_length_a 5.018
_cell_length_b 5.018
_cell_length_c 7.938
_cell_angle_alpha 90.00
_cell_angle_beta 90.00
_cell_angle_gamma 90.00
loop_
_atom_site_label
_atom_site_type_symbol
_atom_site_fract_x
_atom_site_fract_y
_atom_site_fract_z
Os1 Os 0.000 0.000 0.000
Os2 Os 0.000 0.500 0.104
Os3 Os 0.500 0.500 0.250
C1 C 0.169 0.169 0.250
C2 C 0.231 0.339 0.920



# OsC, optimized geometry, DFT PBE
# * crystal system: hexagonal
# * energy: -0.684 Ry per atom
# * total moment: 0.0 Bohr magnetons per cell
# * polymorph energy (0 for the lowest one): 0.196 eV per atom
data_OsC
_chemical_formula_sum 'Os2 C2'
_space_group_name_H-M_alt 'P 63/m m c'
_space_group_IT_number 194
_space_group_name_Hall '-P 6c 2c'
_cell_length_a 2.9324
_cell_length_b 2.9324
_cell_length_c 5.4992
_cell_angle_alpha 90.00
_cell_angle_beta 90.00
_cell_angle_gamma 120.00
loop_
_atom_site_label
_atom_site_type_symbol
_atom_site_fract_x
_atom_site_fract_y
_atom_site_fract_z
Os1 Os 0.0000 0.0000 0.0000
C1 C 0.3333 0.6667 0.2500



# Os4C3, optimized geometry, DFT PBE
# * crystal system: tetragonal
# * energy: -0.684 Ry per atom
# * total moment: 0.0 Bohr magnetons per cell
# * polymorph energy (0 for the lowest one): 0.051 eV per atom
data_Os4C3
_chemical_formula_sum 'Os8 C6'
_space_group_name_H-M_alt 'I 4/m m m'
_space_group_IT_number 139
_space_group_name_Hall '-I 4 2'
_cell_length_a 2.758
_cell_length_b 2.758
_cell_length_c 19.694
_cell_angle_alpha 90.00
_cell_angle_beta 90.00
_cell_angle_gamma 90.00
loop_
_atom_site_label
_atom_site_type_symbol
_atom_site_fract_x
_atom_site_fract_y
_atom_site_fract_z
Os1 Os 0.000 0.000 0.065
Os2 Os 0.000 0.000 0.327
C1 C 0.000 0.000 0.217
C2 C 0.000 0.000 0.500



# Os4C3, optimized geometry, DFT PBE
# * crystal system: hexagonal
# * energy: -0.603 Ry per atom
# * total moment: 0.0 Bohr magnetons per cell
# * polymorph energy (0 for the lowest one): 1.141 eV per atom
data_Os4C3
_chemical_formula_sum 'Os4 C3'
_space_group_name_H-M_alt 'P 6/m m m'
_space_group_IT_number 191
_space_group_name_Hall '-P 6 2'
_cell_length_a 4.0402
_cell_length_b 4.0402
_cell_length_c 5.9356
_cell_angle_alpha 90.00
_cell_angle_beta 90.00
_cell_angle_gamma 120.00
loop_
_atom_site_label
_atom_site_type_symbol
_atom_site_fract_x
_atom_site_fract_y
_atom_site_fract_z
Os1 Os 0.0000 0.0000 0.2228
Os2 Os 0.3333 0.6667 0.5000
C1 C 0.0000 0.5000 0.0000



# OsC5, optimized geometry, DFT PBE
# * crystal system: cubic
# * energy: -0.466 Ry per atom
# * total moment: 0.0 Bohr magnetons per cell
# * polymorph energy (0 for the lowest one): 2.198 eV per atom
data_OsC5
_chemical_formula_sum 'Os4 C20'
_space_group_name_H-M_alt 'F -4 3 m'
_space_group_IT_number 216
_space_group_name_Hall 'F -4 2 3'
_cell_length_a 5.824
_cell_length_b 5.824
_cell_length_c 5.824
_cell_angle_alpha 90.00
_cell_angle_beta 90.00
_cell_angle_gamma 90.00
loop_
_atom_site_label
_atom_site_type_symbol
_atom_site_fract_x
_atom_site_fract_y
_atom_site_fract_z
Os1 Os 0.000 0.000 0.000
C1 C 0.094 0.094 0.406
C2 C 0.250 0.250 0.750



# OsC, optimized geometry, DFT PBE
# * crystal system: monoclinic
# * energy: -0.691 Ry per atom
# * total moment: 0.0 Bohr magnetons per cell
# * polymorph energy (0 for the lowest one): 0.106 eV per atom
data_OsC
_chemical_formula_sum 'Os6 C6'
_space_group_name_H-M_alt 'C 1 m 1'
_space_group_IT_number 8
_space_group_name_Hall 'C -2y'
_cell_length_a 6.273
_cell_length_b 2.810
_cell_length_c 7.506
_cell_angle_alpha 90.00
_cell_angle_beta 97.57
_cell_angle_gamma 90.00
loop_
_atom_site_label
_atom_site_type_symbol
_atom_site_fract_x
_atom_site_fract_y
_atom_site_fract_z
Os1 Os 0.000 0.000 0.000
Os2 Os 0.142 0.000 0.662
Os3 Os 0.331 0.500 0.338
C1 C 0.061 0.500 0.450
C2 C 0.307 0.000 0.119
C3 C 0.453 0.000 0.783



# OsC3, optimized geometry, DFT PBE
# * crystal system: trigonal
# * energy: -0.565 Ry per atom
# * total moment: 0.0 Bohr magnetons per cell
# * polymorph energy (0 for the lowest one): 1.106 eV per atom
data_OsC3
_chemical_formula_sum 'Os3 C9'
_space_group_name_H-M_alt 'R -3 m'
_space_group_IT_number 166
_space_group_name_Hall '-R 3 2"'
_cell_length_a 2.6550
_cell_length_b 2.6550
_cell_length_c 15.6158
_cell_angle_alpha 90.00
_cell_angle_beta 90.00
_cell_angle_gamma 120.00
loop_
_atom_site_label
_atom_site_type_symbol
_atom_site_fract_x
_atom_site_fract_y
_atom_site_fract_z
Os1 Os 0.0000 0.0000 0.0000
C1 C 0.0000 0.0000 0.2300
C2 C 0.0000 0.0000 0.5000



# OsC, optimized geometry, DFT PBE
# * crystal system: tetragonal
# * energy: -0.693 Ry per atom
# * total moment: 0.0 Bohr magnetons per cell
# * polymorph energy (0 for the lowest one): 0.072 eV per atom
data_OsC
_chemical_formula_sum 'Os8 C8'
_space_group_name_H-M_alt 'I 4/m'
_space_group_IT_number 87
_space_group_name_Hall '-I 4'
_cell_length_a 7.973
_cell_length_b 7.973
_cell_length_c 3.481
_cell_angle_alpha 90.00
_cell_angle_beta 90.00
_cell_angle_gamma 90.00
loop_
_atom_site_label
_atom_site_type_symbol
_atom_site_fract_x
_atom_site_fract_y
_atom_site_fract_z
Os1 Os 0.136 0.321 0.000
C1 C 0.099 0.747 0.000



# OsC, optimized geometry, DFT PBE
# * crystal system: cubic
# * energy: -0.685 Ry per atom
# * total moment: 0.0 Bohr magnetons per cell
# * polymorph energy (0 for the lowest one): 0.193 eV per atom
data_OsC
_chemical_formula_sum 'Os6 C6'
_space_group_name_H-M_alt 'P m -3 n'
_space_group_IT_number 223
_space_group_name_Hall '-P 4n 2 3'
_cell_length_a 5.652
_cell_length_b 5.652
_cell_length_c 5.652
_cell_angle_alpha 90.00
_cell_angle_beta 90.00
_cell_angle_gamma 90.00
loop_
_atom_site_label
_atom_site_type_symbol
_atom_site_fract_x
_atom_site_fract_y
_atom_site_fract_z
Os1 Os 0.000 0.250 0.500
C1 C 0.000 0.500 0.250